Entry 1:
The following is a GGA-PBE calculation of an optimized crystal structure of Nd6SnTe3Se2, from Alexandria via LeMat-Bulk.

a b c (Å): 7.5891 7.5891 7.7881
angles (deg): 99.36 99.36 119.96
Atoms (fractional coordinates):
Nd: 0.0827 0.4235 0.7705
Nd: 0.2338 0.2338 0.2258
Nd: 0.4235 0.0827 0.7705
Nd: 0.5765 0.9173 0.2295
Nd: 0.7662 0.7662 0.7742
Nd: 0.9173 0.5765 0.2295
Sn: 0.5000 0.5000 0.0000
Te: 0.0000 0.0000 0.5000
Te: 0.3369 0.6631 0.5000
Te: 0.6631 0.3369 0.5000
Se: 0.1675 0.8325 0.0000
Se: 0.8325 0.1675 0.0000

Properties
Calculated density in kg/m³: 6890
Formation energy from raw total energies in kJ/mol of formula units: -1714
Electronic total energy in eV per atom: -5.564
Space group: C2/m (12)

---

Entry 2:
The following is a GGA-PBE calculation of an optimized crystal structure of Nd4Sn2TeSe, from Alexandria via LeMat-Bulk.

a b c (Å): 7.7232 4.4438 7.7672
angles (deg): 90.00 109.22 90.00
Atoms (fractional coordinates):
Nd: 0.2421 0.0000 0.2474
Nd: 0.2425 0.5000 0.7477
Nd: 0.7579 0.0000 0.7526
Nd: 0.7575 0.5000 0.2523
Sn: 0.0000 0.5000 0.0000
Sn: 0.5000 0.0000 0.0000
Te: 0.5000 0.5000 0.5000
Se: 0.0000 0.0000 0.5000

Properties
Calculated density in kg/m³: 6735
Formation energy from raw total energies in kJ/mol of formula units: -917
Electronic total energy in eV per atom: -5.401
Space group: P2/m (10)

---

Entry 3:
The following is a GGA-PBE calculation of an optimized crystal structure of Nd2Tl3SnSe6, from Alexandria via LeMat-Bulk.

a b c (Å): 7.4520 7.4520 8.0400
angles (deg): 98.83 98.83 120.05
Atoms (fractional coordinates):
Nd: 0.1660 0.8340 0.0000
Nd: 0.8340 0.1660 0.0000
Tl: 0.0000 0.0000 0.5000
Tl: 0.3275 0.6725 0.5000
Tl: 0.6725 0.3275 0.5000
Sn: 0.5000 0.5000 0.0000
Se: 0.1044 0.4311 0.7909
Se: 0.2445 0.2445 0.2139
Se: 0.4311 0.1044 0.7909
Se: 0.5689 0.8956 0.2091
Se: 0.7555 0.7555 0.7861
Se: 0.8956 0.5689 0.2091

Properties
Calculated density in kg/m³: 6746
Formation energy from raw total energies in kJ/mol of formula units: -1193
Electronic total energy in eV per atom: -4.492
Space group: C2/m (12)

---

Entry 4:
The following is a GGA-PBE calculation of an optimized crystal structure of NdTlSnSe3, from Alexandria via LeMat-Bulk.

a b c (Å): 8.6546 8.6546 11.6158
angles (deg): 90.00 90.00 151.40
Atoms (fractional coordinates):
Nd: 0.0000 0.0000 0.0000
Nd: 0.0000 0.0000 0.5000
Tl: 0.3025 0.6975 0.7500
Tl: 0.6975 0.3025 0.2500
Sn: 0.3686 0.6314 0.2500
Sn: 0.6314 0.3686 0.7500
Se: 0.0242 0.9758 0.7500
Se: 0.3780 0.6220 0.5076
Se: 0.3780 0.6220 0.9924
Se: 0.6220 0.3780 0.0076
Se: 0.6220 0.3780 0.4924
Se: 0.9758 0.0242 0.2500

Properties
Calculated density in kg/m³: 5615
Formation energy from raw total energies in kJ/mol of formula units: -539
Electronic total energy in eV per atom: -4.529
Space group: Cmcm (63)

---

Entry 5:
The following is a GGA-PBE calculation of an optimized crystal structure of NdYSnSe, from Alexandria via LeMat-Bulk.

a b c (Å): 4.3159 4.3159 6.1653
angles (deg): 90.00 90.00 90.00
Atoms (fractional coordinates):
Nd: 0.0000 0.0000 0.0000
Y: 0.5000 0.5000 0.5000
Sn: 0.0000 0.0000 0.5000
Se: 0.5000 0.5000 0.0000

Properties
Calculated density in kg/m³: 6229
Formation energy from raw total energies in kJ/mol of formula units: -497
Electronic total energy in eV per atom: -5.967
Space group: P4/mmm (123)

---

Entry 6:
The following is a GGA-PBE calculation of an optimized crystal structure of SrNd2Se4, from Alexandria via LeMat-Bulk.

a b c (Å): 7.8518 7.8518 7.8518
angles (deg): 109.46 109.46 109.50
Atoms (fractional coordinates):
Sr: 0.0000 0.0000 0.0000
Sr: 0.7500 0.2500 0.5000
Nd: 0.2488 0.1250 0.6238
Nd: 0.3750 0.7512 0.8762
Nd: 0.5012 0.6250 0.3762
Nd: 0.8750 0.4988 0.1238
Se: 0.1337 0.3847 0.4029
Se: 0.1347 0.3837 0.9029
Se: 0.2691 0.8663 0.2510
Se: 0.4809 0.2318 0.0971
Se: 0.6153 0.0182 0.7490
Se: 0.6163 0.5191 0.7510
Se: 0.7682 0.8653 0.2490
Se: 0.9818 0.7309 0.5971

Properties
Calculated density in kg/m³: 6167
Formation energy from raw total energies in kJ/mol of formula units: -1313
Relative energy among the computed polymorphs in meV/atom: 0.0
Electronic total energy in eV per atom: -5.537
Space group: I-42d (122)

---

Entry 7:
The following is a GGA-PBE calculation of an optimized crystal structure of SrNd3Se4, from Alexandria via LeMat-Bulk.

a b c (Å): 7.4136 7.4136 4.2475
angles (deg): 90.00 90.00 109.08
Atoms (fractional coordinates):
Sr: 0.0000 0.0000 0.0000
Nd: 0.0000 0.5000 0.5000
Nd: 0.5000 0.0000 0.5000
Nd: 0.5000 0.5000 0.0000
Se: 0.2514 0.7486 0.0000
Se: 0.2545 0.2545 0.5000
Se: 0.7455 0.7455 0.5000
Se: 0.7486 0.2514 0.0000

Properties
Calculated density in kg/m³: 6294
Formation energy from raw total energies in kJ/mol of formula units: -1444
Relative energy among the computed polymorphs in meV/atom: 5.6
Electronic total energy in eV per atom: -5.611
Space group: Cmmm (65)

---

Entry 8:
The following is a GGA-PBE calculation of an optimized crystal structure of SrNd4Se6, from Alexandria via LeMat-Bulk.

a b c (Å): 7.2921 7.2921 21.6563
angles (deg): 90.00 90.00 146.31
Atoms (fractional coordinates):
Sr: 0.1587 0.8413 0.7500
Sr: 0.8413 0.1587 0.2500
Nd: 0.0926 0.9074 0.1297
Nd: 0.0926 0.9074 0.3703
Nd: 0.3618 0.6382 0.0403
Nd: 0.3618 0.6382 0.4597
Nd: 0.6382 0.3618 0.5403
Nd: 0.6382 0.3618 0.9597
Nd: 0.9074 0.0926 0.6297
Nd: 0.9074 0.0926 0.8703
Se: 0.0000 0.0000 0.0000
Se: 0.0000 0.0000 0.5000
Se: 0.1820 0.8180 0.2500
Se: 0.2698 0.7302 0.5877
Se: 0.2698 0.7302 0.9123
Se: 0.4542 0.5458 0.1636
Se: 0.4542 0.5458 0.3364
Se: 0.5458 0.4542 0.6636
Se: 0.5458 0.4542 0.8364
Se: 0.7302 0.2698 0.0877
Se: 0.7302 0.2698 0.4123
Se: 0.8180 0.1820 0.7500

Properties
Calculated density in kg/m³: 5918
Formation energy from raw total energies in kJ/mol of formula units: -2014
Electronic total energy in eV per atom: -5.685
Space group: Cmcm (63)

---

Q: Look up the formation energy from raw total energies of the eighth one.
A: -2014 kJ/mol of formula units